Cu2Ge2Se5: optimized geometry, GGA-PBE.

Results
Volume = 25.676 Å³ per atom
Polymorph energy (0 for the lowest one) = 0 meV per atom
E_form (uncorrected) = -0.1007 eV per atom
Symmetry = C2/m, No. 12

a = 9.906 Å, b = 9.906 Å, c = 6.576 Å
α = 100.40°, β = 100.40°, γ = 21.36°
Positions (direct):
Cu1 0.085 0.085 0.399
Cu2 0.915 0.915 0.601
Ge1 0.404 0.404 0.148
Ge2 0.596 0.596 0.852
Se1 0.167 0.167 0.752
Se2 0.368 0.368 0.768
Se3 0.500 0.500 0.500
Se4 0.632 0.632 0.232
Se5 0.833 0.833 0.248

=====

Sm6Si2Sn: optimized geometry, GGA-PBE.

Results
Volume = 28.049 Å³ per atom
E_form (uncorrected) = -0.5762 eV per atom
Symmetry = Immm, No. 71

a = 8.699 Å, b = 8.699 Å, c = 8.699 Å
α = 112.48°, β = 110.34°, γ = 105.67°
Positions (direct):
Sm1 0.032 0.239 0.794
Sm2 0.187 0.278 0.465
Sm3 0.187 0.722 0.909
Sm4 0.320 0.025 0.706
Sm5 0.320 0.614 0.294
Sm6 0.445 0.239 0.206
Sm7 0.555 0.761 0.794
Sm8 0.680 0.386 0.706
Sm9 0.680 0.975 0.294
Sm10 0.813 0.278 0.091
Sm11 0.813 0.722 0.535
Sm12 0.968 0.761 0.206
Si1 0.113 0.613 0.500
Si2 0.376 0.000 0.376
Si3 0.624 0.000 0.624
Si4 0.887 0.387 0.500
Sn1 0.000 0.000 0.000
Sn2 0.500 0.500 0.000

=====

Be2TlInI: optimized geometry, GGA-PBE.

Results
Volume = 30.373 Å³ per atom
E_form (uncorrected) = 1.1668 eV per atom
Symmetry = P4/mmm, No. 123

a = 4.913 Å, b = 4.913 Å, c = 6.292 Å
α = 90.00°, β = 90.00°, γ = 90.00°
Positions (direct):
Be1 0.000 0.500 0.000
Be2 0.500 0.000 0.000
Tl1 0.000 0.000 0.500
In1 0.500 0.500 0.500
I1 0.500 0.500 0.000

=====

LaReNO2: optimized geometry, GGA-PBE.

Results
Volume = 17.740 Å³ per atom
E_form (uncorrected) = 0.9654 eV per atom
Symmetry = P4/mmm, No. 123

a = 4.271 Å, b = 4.271 Å, c = 4.863 Å
α = 90.00°, β = 90.00°, γ = 90.00°
Positions (direct):
La1 0.000 0.000 0.000
Re1 0.500 0.500 0.500
N1 0.000 0.000 0.500
O1 0.000 0.500 0.000
O2 0.500 0.000 0.000

=====

Be2SiSb: optimized geometry, GGA-PBE.

Results
Volume = 19.466 Å³ per atom
Polymorph energy (0 for the lowest one) = 298 meV per atom
E_form (uncorrected) = 0.6173 eV per atom
Symmetry = I-42d, No. 122

a = 6.419 Å, b = 6.419 Å, c = 6.419 Å
α = 128.95°, β = 128.95°, γ = 75.09°
Positions (direct):
Be1 0.095 0.625 0.970
Be2 0.375 0.345 0.470
Be3 0.655 0.125 0.030
Be4 0.875 0.905 0.530
Si1 0.000 0.000 0.000
Si2 0.750 0.250 0.500
Sb1 0.250 0.750 0.500
Sb2 0.500 0.500 0.000

=====

KSi2Ag: optimized geometry, GGA-PBE.

Results
Volume = 24.178 Å³ per atom
Polymorph energy (0 for the lowest one) = 50 meV per atom
E_form (uncorrected) = 0.2072 eV per atom
Symmetry = P2/m, No. 10

a = 3.215 Å, b = 4.444 Å, c = 6.900 Å
α = 90.00°, β = 101.16°, γ = 90.00°
Positions (direct):
K1 0.000 0.000 0.000
Si1 0.302 0.500 0.647
Si2 0.698 0.500 0.353
Ag1 0.500 0.000 0.500

=====

Ce2ScH: optimized geometry, GGA-PBE.

Results
Volume = 20.796 Å³ per atom
Polymorph energy (0 for the lowest one) = 0 meV per atom
Symmetry = R-3m, No. 166

a = 9.001 Å, b = 9.001 Å, c = 9.001 Å
α = 21.16°, β = 21.16°, γ = 21.16°
Positions (direct):
Ce1 0.226 0.226 0.226
Ce2 0.774 0.774 0.774
Sc1 0.000 0.000 0.000
H1 0.500 0.500 0.500

=====

Al2V5Ni12: optimized geometry, GGA-PBE.

Results
Volume = 13.154 Å³ per atom
Energy of formation = 85 meV per atom
Symmetry = C2/m, No. 12

a = 7.320 Å, b = 7.320 Å, c = 7.886 Å
α = 108.95°, β = 108.95°, γ = 39.06°
Positions (direct):
Al1 0.250 0.750 0.000
Al2 0.750 0.250 0.000
V1 0.000 0.000 0.500
V2 0.314 0.314 0.639
V3 0.360 0.360 0.143
V4 0.640 0.640 0.857
V5 0.686 0.686 0.361
Ni1 0.042 0.559 0.888
Ni2 0.096 0.593 0.397
Ni3 0.106 0.106 0.299
Ni4 0.407 0.904 0.603
Ni5 0.441 0.958 0.112
Ni6 0.486 0.486 0.643
Ni7 0.514 0.514 0.357
Ni8 0.559 0.042 0.888
Ni9 0.593 0.096 0.397
Ni10 0.894 0.894 0.701
Ni11 0.904 0.407 0.603
Ni12 0.958 0.441 0.112

=====

CePm2Y6: optimized geometry, GGA-PBE.

Results
Volume = 32.619 Å³ per atom
Polymorph energy (0 for the lowest one) = 87 meV per atom
Energy of formation = 129 meV per atom
Symmetry = C2/c, No. 15

a = 10.174 Å, b = 10.174 Å, c = 6.065 Å
α = 96.30°, β = 96.30°, γ = 70.71°
Positions (direct):
Ce1 0.129 0.871 0.750
Ce2 0.871 0.129 0.250
Pm1 0.219 0.445 0.922
Pm2 0.445 0.219 0.422
Pm3 0.555 0.781 0.578
Pm4 0.781 0.555 0.078
Y1 0.008 0.772 0.195
Y2 0.082 0.351 0.357
Y3 0.228 0.992 0.305
Y4 0.316 0.575 0.475
Y5 0.351 0.082 0.857
Y6 0.425 0.684 0.025
Y7 0.575 0.316 0.975
Y8 0.649 0.918 0.143
Y9 0.684 0.425 0.525
Y10 0.772 0.008 0.695
Y11 0.918 0.649 0.643
Y12 0.992 0.228 0.805

=====

CaTlAgPt: optimized geometry, GGA-PBE.

Results
Volume = 21.232 Å³ per atom
Energy of formation = -349 meV per atom
Symmetry = F-43m, No. 216

a = 4.934 Å, b = 4.934 Å, c = 4.934 Å
α = 60.00°, β = 60.00°, γ = 60.00°
Positions (direct):
Ca1 0.000 0.000 0.000
Tl1 0.500 0.500 0.500
Ag1 0.250 0.250 0.250
Pt1 0.750 0.750 0.750

=====

Rb2Tl2InSn: optimized geometry, GGA-PBE.

Results
Volume = 37.923 Å³ per atom
Energy of formation = -140 meV per atom
Symmetry = Ibam, No. 72

a = 10.598 Å, b = 10.598 Å, c = 10.598 Å
α = 141.41°, β = 55.37°, γ = 141.87°
Positions (direct):
Rb1 0.170 0.249 0.418
Rb2 0.330 0.749 0.079
Rb3 0.670 0.251 0.921
Rb4 0.830 0.751 0.582
Tl1 0.111 0.750 0.861
Tl2 0.389 0.250 0.639
Tl3 0.611 0.750 0.361
Tl4 0.889 0.250 0.139
In1 0.250 0.750 0.500
In2 0.750 0.250 0.500
Sn1 0.250 0.250 0.000
Sn2 0.750 0.750 0.000

=====

CaReRu3: optimized geometry, GGA-PBE.

Results
Volume = 18.091 Å³ per atom
Polymorph energy (0 for the lowest one) = 1737 meV per atom
Energy of formation = 2666 meV per atom
Symmetry = Pm-3m, No. 221

a = 4.489 Å, b = 4.489 Å, c = 4.489 Å
α = 90.00°, β = 90.00°, γ = 90.00°
Positions (direct):
Ca1 0.000 0.000 0.000
Re1 0.500 0.500 0.500
Ru1 0.000 0.000 0.500
Ru2 0.000 0.500 0.000
Ru3 0.500 0.000 0.000

=====

| no. | Fermi-level density of states (states/eV per cell) |
| --- | --- |
| 1 | 3.76 |
| 2 | 14.58 |
| 3 | 2.11 |
| 4 | 7.40 |
| 5 | 4.95 |
| 6 | 1.02 |
| 7 | 9.22 |
| 8 | 17.20 |
| 9 | 38.21 |
| 10 | 2.37 |
| 11 | 6.03 |
| 12 | 12.96 |